Material: Be3ZnAu
Method: DFT, GGA-PBE
State: optimized geometry

POSCAR file:
```
Be3ZnAu
1.0
4.124 0.000 0.000
0.000 4.124 0.000
0.000 0.000 4.124
Be Zn Au
3 1 1
direct
0.000 0.000 0.500
0.000 0.500 0.000
0.500 0.000 0.000
0.000 0.000 0.000
0.500 0.500 0.500
```

Results
Mass density (g/cm³): 6.85
DFT formation energy (meV per atom): 738.7
Offset from the most stable computed form (meV per atom): 156